No. 1
SmBeSi: relaxed, PBE.

## Properties
- Total energy: -4.641 eV/atom

The structure in POSCAR format:
```
SmBeSi
1.0
0.0000 3.1400 3.1400
3.1400 0.0000 3.1400
3.1400 3.1400 0.0000
Sm Si Be
1 1 1
Cartesian
4.7099 4.7099 4.7099
0.0000 0.0000 0.0000
1.5700 1.5700 1.5700
```



No. 2
Sm2Be2SiSn: relaxed, PBE.

## Properties
- Total energy: -4.909 eV/atom

The structure in POSCAR format:
```
Sm2Be2SiSn
1.0
-0.8457 -3.8984 0.8525
3.8710 1.1847 -0.5017
0.5552 1.6878 8.2690
Si Sn Be Sm
1 1 2 2
Cartesian
1.0041 -1.3602 4.5356
2.2988 -0.5097 -0.0503
0.7265 -2.2041 0.4011
2.5763 0.3342 4.0842
0.1452 0.4416 2.1634
0.4099 1.2462 6.1056
```



No. 3
SmTmBe2Si2: relaxed, PBE.

## Properties
- Total energy: -5.221 eV/atom

The structure in POSCAR format:
```
SmTmBe2Si2
1.0
-0.3726 3.8653 0.0555
-2.7326 -2.2376 1.6150
3.9526 0.2794 7.0747
Be Si Tm Sm
2 2 1 1
Cartesian
-0.1392 1.9031 2.4011
0.9866 0.0040 6.3441
-0.9210 -0.1309 2.9296
1.7684 2.0379 5.8157
1.9763 0.1397 3.5374
0.0000 0.0000 0.0000
```



No. 4
Zr2Be2SiSn: relaxed, PBE.

## Properties
- Total energy: -6.149 eV/atom

The structure in POSCAR format:
```
Zr2Be2SiSn
1.0
-1.5477 -0.6443 3.5310
-1.5164 -1.7522 -3.1478
4.5996 -5.7257 0.9714
Sn Be Zr Si
1 2 2 1
Cartesian
-1.5269 -1.3829 -0.9215
-1.5373 -1.0136 1.3048
0.7729 -4.2458 -0.4359
1.2304 -1.5316 0.2598
3.3692 -4.1942 0.7115
0.7625 -3.8764 1.7904
```



No. 5
TbYBe2Si2: relaxed, PBE.

## Properties
- Total energy: -5.566 eV/atom

The structure in POSCAR format:
```
TbYBe2Si2
1.0
3.8788 0.0000 0.0000
-1.9394 3.3592 0.0000
0.0000 0.0000 8.0801
Si Y Be Tb
2 1 2 1
Cartesian
1.9394 1.1197 6.0590
0.0000 2.2394 2.0210
0.0000 0.0000 4.0400
1.9394 1.1197 2.0208
0.0000 2.2394 6.0593
0.0000 0.0000 0.0000
```



No. 6
Be2SiTc: relaxed, PBE.

## Properties
- Total energy: -5.795 eV/atom

The structure in POSCAR format:
```
Be2SiTc
1.0
0.0000 2.8126 2.8126
2.8126 0.0000 2.8126
2.8126 2.8126 0.0000
Be Si Tc
2 1 1
Cartesian
4.2189 4.2189 4.2189
0.0000 0.0000 0.0000
2.8126 2.8126 2.8126
1.4063 1.4063 1.4063
```



No. 7
BeSiTc2: relaxed, PBE.

## Properties
- Total energy: -7.527 eV/atom

The structure in POSCAR format:
```
BeSiTc2
1.0
0.1153 -3.1860 2.6650
-2.1857 0.1641 3.5301
-3.3412 -2.4213 0.4893
Si Be Tc
1 1 2
Cartesian
-2.7058 -2.7216 3.3422
-1.3529 -1.3608 1.6711
-4.0587 -4.0824 5.0133
0.0000 0.0000 0.0000
```



No. 8
Be6SiTc2: relaxed, PBE.

## Properties
- Total energy: -5.263 eV/atom

The structure in POSCAR format:
```
Be6SiTc2
1.0
-3.3460 2.8191 5.1824
-2.8991 -4.9516 -3.6164
0.9521 -1.6698 1.5231
Be Tc Si
6 2 1
Cartesian
-1.6416 0.9492 4.0414
-1.3587 -3.9687 -1.5272
-0.8679 -1.4824 -1.0827
-4.3754 -1.4940 1.0972
-1.8167 -1.6178 1.3365
-1.0017 0.8440 1.5515
-3.0481 -2.3613 -0.6835
-3.1970 0.2289 2.2495
0.4761 -0.8349 0.7616
```



No. 9
BeSiTeW: relaxed, PBE.

## Properties
- Total energy: -5.510 eV/atom

The structure in POSCAR format:
```
BeSiTeW
1.0
-1.2128 0.7020 4.2775
-4.3413 -0.2064 1.1713
-1.4942 -3.4269 2.5070
Si Te W Be
1 1 1 1
Cartesian
0.0000 0.0000 0.0000
-3.5242 -1.4656 3.9779
-1.7621 -0.7328 1.9890
-5.2863 -2.1985 5.9669
```



No. 10
BeSiTeW: relaxed, PBE.

## Properties
- Total energy: -5.256 eV/atom

The structure in POSCAR format:
```
BeSiTeW
1.0
0.0000 3.1952 3.1952
3.1952 0.0000 3.1952
3.1952 3.1952 0.0000
Be W Si Te
1 1 1 1
Cartesian
4.7928 4.7928 4.7928
0.0000 0.0000 0.0000
3.1952 3.1952 3.1952
1.5976 1.5976 1.5976
```



No. 11
BeSiTeW: relaxed, PBE.

## Properties
- Total energy: -5.329 eV/atom

The structure in POSCAR format:
```
BeSiTeW
1.0
4.2337 -1.4692 0.2083
0.8444 -4.2532 1.1505
1.5236 -2.8942 -3.0706
Te Si Be W
1 1 1 1
Cartesian
3.3009 -4.3083 -0.8559
1.6504 -2.1541 -0.4279
4.9513 -6.4624 -1.2838
0.0000 0.0000 0.0000
```



No. 12
YTmBe2Si2: relaxed, PBE.

## Properties
- Total energy: -5.535 eV/atom

The structure in POSCAR format:
```
YTmBe2Si2
1.0
3.8573 0.0000 0.0000
-1.9287 3.3405 0.0000
0.0000 0.0000 7.9732
Si Be Tm Y
2 2 1 1
Cartesian
1.9287 1.1135 6.0131
0.0000 2.2270 1.9601
1.9287 1.1135 1.9643
0.0000 2.2270 6.0090
0.0000 0.0000 0.0000
0.0000 0.0000 3.9866
```



No. 13
TmZrBe2Si2: relaxed, PBE.

## Properties
- Total energy: -5.916 eV/atom

The structure in POSCAR format:
```
TmZrBe2Si2
1.0
-3.3166 -0.2999 -1.7785
0.4872 -1.6255 3.3724
-2.4037 6.3560 3.4108
Tm Si Be Zr
1 2 2 1
Cartesian
0.0000 0.0000 0.0000
-3.8291 3.9661 2.4648
-1.4040 0.4645 2.5399
-2.6885 0.9501 0.8464
-2.5446 3.4805 4.1584
-1.2019 3.1780 1.7054
```



No. 14
BeZnSi2: relaxed, PBE.

## Properties
- Total energy: -3.434 eV/atom

The structure in POSCAR format:
```
BeZnSi2
1.0
-2.2531 -3.6060 -0.0530
0.3134 -2.7505 3.2278
-3.2595 -0.5101 2.6828
Be Zn Si
1 1 2
Cartesian
-2.5996 -3.4333 2.9288
-1.2998 -1.7166 1.4644
-3.8994 -5.1499 4.3931
0.0000 0.0000 0.0000
```



No. 15
ZrBe2Si: relaxed, PBE.

## Properties
- Total energy: -5.125 eV/atom

The structure in POSCAR format:
```
ZrBe2Si
1.0
0.0000 3.0180 3.0180
3.0180 0.0000 3.0180
3.0180 3.0180 0.0000
Zr Si Be
1 1 2
Cartesian
1.5090 1.5090 1.5090
3.0180 3.0180 3.0180
4.5270 4.5270 4.5270
0.0000 0.0000 0.0000
```



No. 16
ZrBeSi2: relaxed, PBE.

## Properties
- Total energy: -5.467 eV/atom

The structure in POSCAR format:
```
ZrBeSi2
1.0
0.0000 3.1281 3.1281
3.1281 0.0000 3.1281
3.1281 3.1281 0.0000
Be Si Zr
1 2 1
Cartesian
3.1281 3.1281 3.1281
0.0000 0.0000 0.0000
1.5640 1.5640 1.5640
4.6921 4.6921 4.6921
```



No. 17
SmBe2: relaxed, PBE.

## Properties
- Total energy: -3.910 eV/atom

The structure in POSCAR format:
```
SmBe2
1.0
4.9867 -0.9736 0.5283
2.0265 -0.4907 4.6633
1.5476 -4.5825 1.6431
Be Sm
4 2
Cartesian
4.3373 -3.5339 1.9401
5.3505 -3.7793 4.2717
4.5767 -1.4880 3.4502
2.8572 -3.2925 4.0076
0.0000 0.0000 0.0000
2.1402 -1.5117 1.7087
```



No. 18
SmBe: relaxed, PBE.

## Properties
- Total energy: -3.656 eV/atom

The structure in POSCAR format:
```
SmBe
1.0
-1.2416 1.4423 2.9950
-0.1231 -3.5163 -0.4599
3.8850 -0.3699 1.7887
Sm Be
1 1
Cartesian
0.4753 -1.9559 1.1389
2.0449 -0.4881 3.1849
```



No. 19
SmBe3: relaxed, PBE.

## Properties
- Total energy: -3.904 eV/atom

The structure in POSCAR format:
```
SmBe3
1.0
-1.6744 -7.7185 2.4073
2.3673 -7.8940 -0.5056
2.7894 -6.4987 4.2617
Be Sm
9 3
Cartesian
0.8480 -8.8042 3.7505
2.3203 -14.7330 4.1068
1.7411 -11.0556 3.0817
1.1620 -7.3782 2.0566
2.7843 -8.8883 2.3550
2.6342 -13.3070 2.4129
0.6980 -13.2229 3.8084
2.8364 -12.6385 4.6967
0.6459 -9.4727 1.4667
0.0000 0.0000 0.0000
2.9752 -18.8914 5.2659
0.5071 -3.2197 0.8975
```



No. 20
SmBe: relaxed, PBE.

## Properties
- Total energy: -3.020 eV/atom

The structure in POSCAR format:
```
SmBe
1.0
0.0000 3.1512 3.1512
3.1512 0.0000 3.1512
3.1512 3.1512 0.0000
Sm Be
1 1
Cartesian
1.5756 1.5756 1.5756
0.0000 0.0000 0.0000
```



No. 21
SmBe: relaxed, PBE.

## Properties
- Total energy: -3.655 eV/atom

The structure in POSCAR format:
```
SmBe
1.0
0.0000 2.9327 2.9327
2.9327 0.0000 2.9327
2.9327 2.9327 0.0000
Sm Be
1 1
Cartesian
2.9327 2.9327 2.9327
0.0000 0.0000 0.0000
```



No. 22
SmBe2: relaxed, PBE.

## Properties
- Total energy: -3.062 eV/atom

The structure in POSCAR format:
```
SmBe2
1.0
-3.2499 -2.8508 -1.2256
-4.3100 1.0939 0.6469
-2.6256 0.9638 -3.5169
Be Sm
2 1
Cartesian
-2.5463 -0.1983 -1.0239
-7.6390 -0.5948 -3.0717
0.0000 0.0000 0.0000
```



No. 23
SmBe4: relaxed, PBE.

## Properties
- Total energy: -3.624 eV/atom

The structure in POSCAR format:
```
SmBe4
1.0
3.1250 0.0000 0.0000
0.0000 3.1250 0.0000
0.0000 0.0000 13.6324
Be Sm
8 2
Cartesian
1.5625 1.5625 5.2638
1.5625 0.0000 6.8429
1.5625 1.5625 0.0000
0.0000 0.0000 5.2638
0.0000 1.5625 6.7895
0.0000 0.0000 0.0000
0.0000 0.0000 8.3686
1.5625 1.5625 8.3686
0.0000 1.5625 2.6474
1.5625 0.0000 10.9851
```



No. 24
SmBe2: relaxed, PBE.

## Properties
- Total energy: -3.987 eV/atom

The structure in POSCAR format:
```
SmBe2
1.0
5.4065 0.0000 0.0000
-2.7033 4.6822 0.0000
0.0000 0.0000 7.5451
Sm Be
4 8
Cartesian
2.7033 1.5607 0.2791
2.7033 1.5607 3.4934
0.0000 3.1215 7.2660
0.0000 3.1215 4.0517
0.0000 0.0000 0.0000
1.0691 0.6172 5.6588
-1.6342 4.0650 1.8863
0.0000 1.2345 1.8863
0.0000 0.0000 3.7726
4.3375 0.6172 5.6588
2.7033 3.4477 5.6588
1.6342 4.0650 1.8863
```



No. 25
SmBe2: relaxed, PBE.

## Properties
- Total energy: -1.536 eV/atom

The structure in POSCAR format:
```
SmBe2
1.0
4.7520 2.7436 7.7599
-4.7520 2.7436 7.7599
0.0000 -5.4871 7.7599
Sm Be
2 4
Cartesian
0.0000 0.0000 2.9100
0.0000 0.0000 20.3698
0.0000 -2.7435 3.8800
0.0000 0.0000 0.0000
2.3760 1.3718 3.8800
-2.3760 1.3718 3.8800
```



No. 26
SmBeSn: relaxed, PBE.

## Properties
- Total energy: -4.010 eV/atom

The structure in POSCAR format:
```
SmBeSn
1.0
0.0000 3.3658 3.3658
3.3658 0.0000 3.3658
3.3658 3.3658 0.0000
Sm Sn Be
1 1 1
Cartesian
3.3658 3.3658 3.3658
5.0487 5.0487 5.0487
0.0000 0.0000 0.0000
```



No. 27
SmBeSn: relaxed, PBE.

## Properties
- Total energy: -3.757 eV/atom

The structure in POSCAR format:
```
SmBeSn
1.0
0.5674 -4.8400 -0.5115
-3.9247 -2.9326 -0.0739
-1.3389 -2.1965 -4.1703
Be Sn Sm
1 1 1
Cartesian
-1.1740 -2.4923 -1.1889
-3.5221 -7.4768 -3.5668
0.0000 0.0000 0.0000
```



No. 28
TbSm2Be2: relaxed, PBE.

## Properties
- Total energy: -3.563 eV/atom

The structure in POSCAR format:
```
TbSm2Be2
1.0
8.9377 0.0000 0.0000
0.0000 8.9377 0.0000
0.0000 0.0000 3.2857
Be Tb Sm
4 2 4
Cartesian
8.1531 3.6843 1.6428
5.2535 8.1531 1.6428
0.7846 5.2535 1.6428
3.6843 0.7846 1.6428
0.0000 0.0000 0.0000
4.4689 4.4689 0.0000
6.2395 1.7706 1.6428
7.1671 6.2395 1.6428
2.6983 7.1671 1.6428
1.7706 2.6983 1.6428
```